[1]
Density functional theory data (GGA-PBE) for a relaxed In2Hg2I crystal.

For the raw total energy, the calculation gives -15.98 eV per cell. The energy relative to the lowest polymorph listed for this composition comes out at 20 kJ/mol of formula units. As for the formation energy (no corrections): -72 meV per atom.

Cell lengths 8.943, 8.943, 3.886 Å; angles 90.00, 90.00, 90.00 degrees
Space group P4/mbm (No. 127)
Asymmetric unit:
In  0.180  0.320  0.000 x4
Hg  0.125  0.625  0.500 x4
I  0.000  0.000  0.500 x2

[2]
Density functional theory data (GGA-PBE) for a relaxed Na2CdSn2 crystal.

For the raw total energy, the calculation gives -22.49 eV per cell. The energy relative to the lowest polymorph listed for this composition comes out at 94 kJ/mol of formula units. The value obtained for the formation enthalpy at 0 K is 1.45 kcal/mol of atoms.

Cell lengths 4.413, 4.413, 14.503 Å; angles 90.00, 90.00, 90.00 degrees
Space group I4/mmm (No. 139)
Asymmetric unit:
Na  0.000  0.500  0.250 x4
Cd  0.000  0.000  0.000 x2
Sn  0.000  0.000  0.405 x4

[3]
Density functional theory data (GGA-PBE) for a relaxed NaTm4ScSe8 crystal.

For the raw total energy, the calculation gives -232.44 eV per cell. As for the formation energy (no corrections): -1719 meV per atom.

Cell lengths 8.3440, 8.3440, 20.1094 Å; angles 90.00, 90.00, 120.00 degrees
Space group R3m (No. 160, hexagonal axes)
Asymmetric unit:
Na  0.0000  0.0000  0.0000 x3
Tm  0.0000  0.0000  0.2453 x3
Tm  0.1732  0.3463  0.4540 x9
Sc  0.0000  0.0000  0.6291 x3
Se  0.0000  0.0000  0.3797 x3
Se  0.0000  0.0000  0.8630 x3
Se  0.0332  0.5166  0.3719 x9
Se  0.1799  0.3598  0.2044 x9

[4]
Density functional theory data (GGA-PBE) for a relaxed Na3Sn4Bi4 crystal.

For the raw total energy, the calculation gives -72.79 eV per cell. The value obtained for the formation enthalpy at 0 K is -1.90 kcal/mol of atoms.

Cell lengths 12.233, 4.582, 13.037 Å; angles 90.00, 90.00, 90.00 degrees
Space group Amm2 (No. 38)
Asymmetric unit:
Na  0.000  0.000  0.000 x2
Na  0.344  0.000  0.099 x4
Sn  0.000  0.000  0.325 x2
Sn  0.244  0.000  0.788 x4
Sn  0.500  0.000  0.388 x2
Bi  0.000  0.000  0.676 x2
Bi  0.227  0.000  0.446 x4
Bi  0.500  0.000  0.725 x2

Please write out number 3 again, unchanged.
Density functional theory data (GGA-PBE) for a relaxed NaTm4ScSe8 crystal.

For the raw total energy, the calculation gives -232.44 eV per cell. As for the formation energy (no corrections): -1719 meV per atom.

Cell lengths 8.3440, 8.3440, 20.1094 Å; angles 90.00, 90.00, 120.00 degrees
Space group R3m (No. 160, hexagonal axes)
Asymmetric unit:
Na  0.0000  0.0000  0.0000 x3
Tm  0.0000  0.0000  0.2453 x3
Tm  0.1732  0.3463  0.4540 x9
Sc  0.0000  0.0000  0.6291 x3
Se  0.0000  0.0000  0.3797 x3
Se  0.0000  0.0000  0.8630 x3
Se  0.0332  0.5166  0.3719 x9
Se  0.1799  0.3598  0.2044 x9